(i)
Entry from OQMD: a relaxed structure of Al7Ni6 (PBE).

## Properties
Space group: R-3m, No. 166

Lattice parameters (Å, degrees): 8.6617 8.6617 8.6617 33.06 33.06 33.06
Sites, in units of the cell vectors:
Al (0.0000, 0.0000, 0.0000)
Al (0.0830, 0.0830, 0.5778)
Al (0.0830, 0.5778, 0.0830)
Al (0.4222, 0.9170, 0.9170)
Al (0.5778, 0.0830, 0.0830)
Al (0.9170, 0.4222, 0.9170)
Al (0.9170, 0.9170, 0.4222)
Ni (0.1670, 0.1670, 0.1670)
Ni (0.3401, 0.3401, 0.3401)
Ni (0.4512, 0.4512, 0.4512)
Ni (0.5488, 0.5488, 0.5488)
Ni (0.6599, 0.6599, 0.6599)
Ni (0.8330, 0.8330, 0.8330)

(ii)
Entry from OQMD: a relaxed structure of Al7Ni6 (PBE).

## Properties
Space group: R-3m, No. 166

Lattice parameters (Å, degrees): 8.5810 8.5810 8.5810 33.01 33.01 33.01
Sites, in units of the cell vectors:
Al (0.0000, 0.0000, 0.0000)
Al (0.1655, 0.1655, 0.1655)
Al (0.3424, 0.3424, 0.3424)
Al (0.4476, 0.4476, 0.4476)
Al (0.5524, 0.5524, 0.5524)
Al (0.6576, 0.6576, 0.6576)
Al (0.8345, 0.8345, 0.8345)
Ni (0.0897, 0.0897, 0.5825)
Ni (0.0897, 0.5825, 0.0897)
Ni (0.4175, 0.9103, 0.9103)
Ni (0.5825, 0.0897, 0.0897)
Ni (0.9103, 0.4175, 0.9103)
Ni (0.9103, 0.9103, 0.4175)

Name the most stable of them. (ii).

(i)
Entry from OQMD: a relaxed structure of TaAlNiPd (PBE).

## Properties
Space group: F-43m, No. 216

Lattice parameters (Å, degrees): 4.3676 4.3676 4.3676 60.00 60.00 60.00
Sites, in units of the cell vectors:
Ta (0.0000, 0.0000, 0.0000)
Al (0.2500, 0.2500, 0.2500)
Ni (0.5000, 0.5000, 0.5000)
Pd (0.7500, 0.7500, 0.7500)

(ii)
Entry from OQMD: a relaxed structure of TaAlNiPd (PBE).

## Properties
Space group: F-43m, No. 216

Lattice parameters (Å, degrees): 4.3680 4.3680 4.3680 60.00 60.00 60.00
Sites, in units of the cell vectors:
Ta (0.0000, 0.0000, 0.0000)
Al (0.5000, 0.5000, 0.5000)
Ni (0.7500, 0.7500, 0.7500)
Pd (0.2500, 0.2500, 0.2500)

Name the most stable of them. (ii).

(i)
Entry from OQMD: a relaxed structure of ZrAlNiPd (PBE).

## Properties
Space group: P6_3mc, No. 186

Lattice parameters (Å, degrees): 4.2148 4.2148 8.3230 90.00 90.00 120.00
Sites, in units of the cell vectors:
Zr (0.3333, 0.6667, 0.0000)
Zr (0.6667, 0.3333, 0.5000)
Al (0.0000, 0.0000, 0.2358)
Al (0.0000, 0.0000, 0.7358)
Ni (0.3333, 0.6667, 0.6655)
Ni (0.6667, 0.3333, 0.1655)
Pd (0.3333, 0.6667, 0.3349)
Pd (0.6667, 0.3333, 0.8349)

(ii)
Entry from OQMD: a relaxed structure of ZrAlNiPd (PBE).

## Properties
Space group: P-3m1, No. 164

Lattice parameters (Å, degrees): 4.2109 4.2109 8.3578 90.00 90.00 120.00
Sites, in units of the cell vectors:
Zr (0.3333, 0.6667, 0.2323)
Zr (0.6667, 0.3333, 0.7677)
Al (0.0000, 0.0000, 0.0000)
Al (0.0000, 0.0000, 0.5000)
Ni (0.3333, 0.6667, 0.9209)
Ni (0.6667, 0.3333, 0.0791)
Pd (0.3333, 0.6667, 0.5919)
Pd (0.6667, 0.3333, 0.4081)

(iii)
Entry from OQMD: a relaxed structure of ZrAlNiPd (PBE).

## Properties
Space group: F-43m, No. 216

Lattice parameters (Å, degrees): 4.4610 4.4610 4.4610 60.00 60.00 60.00
Sites, in units of the cell vectors:
Zr (0.0000, 0.0000, 0.0000)
Al (0.5000, 0.5000, 0.5000)
Ni (0.7500, 0.7500, 0.7500)
Pd (0.2500, 0.2500, 0.2500)

Name the most stable of them. (ii).

(i)
Entry from OQMD: a relaxed structure of PrAl2Ni2 (PBE).

## Properties
Space group: I4/mmm, No. 139

Lattice parameters (Å, degrees): 5.7722 5.7722 5.7722 136.87 136.87 62.64
Sites, in units of the cell vectors:
Pr (0.0000, 0.0000, 0.0000)
Al (0.3614, 0.3614, 0.0000)
Al (0.6386, 0.6386, 0.0000)
Ni (0.2500, 0.7500, 0.5000)
Ni (0.7500, 0.2500, 0.5000)

(ii)
Entry from OQMD: a relaxed structure of PrAl2Ni2 (PBE).

## Properties
Space group: I4/mmm, No. 139

Lattice parameters (Å, degrees): 6.0220 6.0220 6.0220 140.50 140.50 57.09
Sites, in units of the cell vectors:
Pr (0.0000, 0.0000, 0.0000)
Al (0.2500, 0.7500, 0.5000)
Al (0.7500, 0.2500, 0.5000)
Ni (0.3835, 0.3835, 0.0000)
Ni (0.6165, 0.6165, 0.0000)

Name the most stable of them. (ii).